Record 1
This record from Alexandria describes a relaxed structure of RhPbSe2. The functional is GGA-PBE.

Computed properties:
As for the energy: -4.70 eV/atom. The crystal system is orthorhombic. The value obtained for the total magnetization is 0.0000 μB per atom. As for the uncorrected formation energy: -0.20 eV/atom. For the density of states at the Fermi level, the calculation gives 0.68 states/eV/atom. The space-group type is Immm (71).

abc: 5.855 5.855 5.855
angles: 144.02 124.44 67.99
Atoms (fractional coordinates):
Rh 0.000 0.000 0.000
Pb 0.500 0.500 0.000
Se 0.172 0.672 0.500
Se 0.828 0.328 0.500

***

Record 2
This record from Alexandria describes a relaxed structure of ZnINO2. The functional is GGA-PBE.

Computed properties:
As for the energy: -3.03 eV/atom. The crystal system is tetragonal. The value obtained for the total magnetization is 0.0000 μB per atom. As for the uncorrected formation energy: 1.18 eV/atom. For the density of states at the Fermi level, the calculation gives 0.67 states/eV/atom. The space-group type is P4/mmm (123).

abc: 3.956 3.956 4.227
angles: 90.00 90.00 90.00
Atoms (fractional coordinates):
Zn 0.000 0.000 0.000
I 0.500 0.500 0.000
N 0.500 0.500 0.500
O 0.000 0.500 0.500
O 0.500 0.000 0.500